(1)
Below is InAsAu2 after structural relaxation, with properties calculated at the GGA-PBE level.

Properties
- size of the total moment (μB per formula unit) = 0.000
- N(E_F) (states/eV per atom) = 0.39
- energy of formation (eV per atom) = 0.1196

Cell and atoms, written as POSCAR:
```
InAsAu2
1.0
2.229 -2.232 0.000
2.229 2.232 0.000
0.000 0.000 8.141
In As Au
1 1 2
Direct
0.000 0.000 0.000
0.500 0.500 0.701
0.000 0.000 0.487
0.500 0.500 0.246
```

(2)
Below is ZnCd2Co after structural relaxation, with properties calculated at the GGA-PBE level.

Properties
- size of the total moment (μB per formula unit) = 1.027
- N(E_F) (states/eV per atom) = 0.51
- energy of formation (eV per atom) = 0.2323

Cell and atoms, written as POSCAR:
```
ZnCd2Co
1.0
-1.987 1.998 4.211
1.987 -1.998 4.211
1.987 1.998 -4.211
Zn Cd Co
1 2 1
Direct
0.000 0.000 0.000
0.250 0.750 0.500
0.750 0.250 0.500
0.500 0.500 0.000
```

(3)
Below is NaRuRh after structural relaxation, with properties calculated at the GGA-PBE level.

Properties
- size of the total moment (μB per formula unit) = 0.000
- N(E_F) (states/eV per atom) = 1.57
- energy of formation (eV per atom) = 0.8817
- energy above the lowest structure with this stoichiometry (meV per atom) = 589

Cell and atoms, written as POSCAR:
```
NaRuRh
1.0
0.000 2.996 2.996
2.996 0.000 2.996
2.996 2.996 0.000
Na Ru Rh
1 1 1
Direct
0.000 0.000 0.000
0.500 0.500 0.500
0.750 0.750 0.750
```

(4)
Below is NiAs2RuSe after structural relaxation, with properties calculated at the GGA-PBE level.

Properties
- E_form (uncorrected) (eV/atom) = 0.7711
- size of the total moment (μB per formula unit) = 0.449
- N(E_F) (states/eV per atom) = 0.96
- energy above the lowest structure with this stoichiometry (meV per atom) = 0

Cell and atoms, written as POSCAR:
```
NiAs2RuSe
1.0
4.457 0.000 0.000
0.000 4.457 0.000
0.000 0.000 4.691
Ni As Ru Se
1 2 1 1
Direct
0.000 0.000 0.000
0.000 0.500 0.000
0.500 0.000 0.000
0.500 0.500 0.500
0.000 0.000 0.500
```

(5)
Below is Cr2CoMo after structural relaxation, with properties calculated at the GGA-PBE level.

Properties
- size of the total moment (μB per formula unit) = 0.000
- N(E_F) (states/eV per atom) = 1.26
- energy of formation (eV per atom) = 0.2557

Cell and atoms, written as POSCAR:
```
Cr2CoMo
1.0
2.520 0.000 0.000
0.000 3.632 0.000
0.000 0.000 5.498
Cr Co Mo
2 1 1
Direct
0.000 0.000 0.214
0.000 0.000 0.786
0.500 0.500 0.000
0.500 0.500 0.500
```

(6)
Below is Dy2Zn2InNi5 after structural relaxation, with properties calculated at the GGA-PBE level.

Properties
- size of the total moment (μB per formula unit) = 0.000
- N(E_F) (states/eV per atom) = 0.63
- energy of formation (eV per atom) = -0.2950

Cell and atoms, written as POSCAR:
```
Dy2Zn2InNi5
1.0
9.342 0.000 0.000
0.000 9.342 0.000
0.000 0.000 3.633
Dy Zn In Ni
4 4 2 10
Direct
0.180 0.320 0.000
0.320 0.820 0.000
0.680 0.180 0.000
0.820 0.680 0.000
0.116 0.616 0.000
0.384 0.116 0.000
0.616 0.884 0.000
0.884 0.384 0.000
0.000 0.000 0.000
0.500 0.500 0.000
0.000 0.500 0.500
0.063 0.786 0.500
0.214 0.063 0.500
0.286 0.563 0.500
0.437 0.286 0.500
0.500 0.000 0.500
0.563 0.714 0.500
0.714 0.437 0.500
0.786 0.937 0.500
0.937 0.214 0.500
```

(7)
Below is TaVRe2Ir after structural relaxation, with properties calculated at the GGA-PBE level.

Properties
- size of the total moment (μB per formula unit) = 0.000
- N(E_F) (states/eV per atom) = 1.44
- energy of formation (eV per atom) = 2.2017

Cell and atoms, written as POSCAR:
```
TaVRe2Ir
1.0
4.676 0.000 0.000
0.000 4.676 0.000
0.000 0.000 4.447
Ta V Re Ir
1 1 2 1
Direct
0.000 0.000 0.000
0.000 0.000 0.500
0.000 0.500 0.000
0.500 0.000 0.000
0.500 0.500 0.500
```

(8)
Below is Tb4ErAu2 after structural relaxation, with properties calculated at the GGA-PBE level.

Properties
- size of the total moment (μB per formula unit) = 0.001
- N(E_F) (states/eV per atom) = 1.45
- energy of formation (eV per atom) = -0.2474

Cell and atoms, written as POSCAR:
```
Tb4ErAu2
1.0
2.499 1.443 9.825
-2.499 1.443 9.825
0.000 -2.885 9.825
Tb Er Au
4 1 2
Direct
0.104 0.104 0.104
0.297 0.297 0.297
0.703 0.703 0.703
0.896 0.896 0.896
0.500 0.500 0.500
0.399 0.399 0.399
0.601 0.601 0.601
```

(9)
Below is Zr2ZnFe after structural relaxation, with properties calculated at the GGA-PBE level.

Properties
- size of the total moment (μB per formula unit) = 0.513
- N(E_F) (states/eV per atom) = 0.78
- energy of formation (eV per atom) = -0.1431

Cell and atoms, written as POSCAR:
```
Zr2ZnFe
1.0
3.337 0.000 0.000
0.000 4.254 0.000
-1.082 0.000 5.012
Zr Zn Fe
2 1 1
Direct
0.000 0.000 0.000
0.206 0.500 0.571
0.655 0.000 0.444
0.551 0.500 0.135
```

(10)
Below is Sm2Ho6Er3Tl after structural relaxation, with properties calculated at the GGA-PBE level.

Properties
- size of the total moment (μB per formula unit) = 0.001
- N(E_F) (states/eV per atom) = 1.31
- energy of formation (eV per atom) = -0.0232

Cell and atoms, written as POSCAR:
```
Sm2Ho6Er3Tl
1.0
3.030 -5.253 0.000
3.030 5.253 0.000
-2.031 0.000 11.479
Sm Ho Er Tl
2 6 3 1
Direct
0.166 0.834 0.000
0.834 0.166 0.000
0.088 0.417 0.750
0.254 0.254 0.252
0.417 0.088 0.750
0.583 0.912 0.250
0.746 0.746 0.748
0.912 0.583 0.250
0.000 0.000 0.500
0.333 0.667 0.500
0.667 0.333 0.500
0.500 0.500 0.000
```

(11)
Below is ZnCrRe2Ru after structural relaxation, with properties calculated at the GGA-PBE level.

Properties
- size of the total moment (μB per formula unit) = 0.000
- N(E_F) (states/eV per atom) = 1.13
- energy of formation (eV per atom) = 2.1076

Cell and atoms, written as POSCAR:
```
ZnCrRe2Ru
1.0
4.439 0.000 0.000
0.000 4.439 0.000
0.000 0.000 4.353
Zn Cr Re Ru
1 1 2 1
Direct
0.000 0.000 0.000
0.500 0.500 0.500
0.000 0.500 0.000
0.500 0.000 0.000
0.000 0.000 0.500
```

(12)
Below is CrCoPtAu2 after structural relaxation, with properties calculated at the GGA-PBE level.

Properties
- size of the total moment (μB per formula unit) = 2.138
- N(E_F) (states/eV per atom) = 2.21
- energy of formation (eV per atom) = 1.5748

Cell and atoms, written as POSCAR:
```
CrCoPtAu2
1.0
5.052 0.000 0.000
0.000 5.052 0.000
0.000 0.000 4.511
Cr Co Pt Au
1 1 1 2
Direct
0.000 0.000 0.000
0.500 0.500 0.000
0.500 0.500 0.500
0.000 0.500 0.500
0.500 0.000 0.500
```